InSe3Br | PBE | optimized geometry

Unit cell a=6.7066 b=7.9409 c=7.9798 alpha=72.87 beta=85.98 gamma=69.59
With the nearest neighbours (Å) after each atom.
Space group P1 (No. 1)
Unique sites:
In 0.0000 0.0000 0.0000  2 Br 2.56-2.67, 2 Se 2.71-2.80
In 0.3177 0.3896 0.7911  4 Se 2.63-2.80
Se 0.2774 0.2939 0.1371  1 Se 2.37
Se 0.4042 0.9807 0.1230  2 Se 2.37-2.46
Se 0.4765 0.5116 0.4874  1 Se 2.32
Se 0.6162 0.0260 0.8594  1 Se 2.46
Se 0.8038 0.2712 0.5602  2 Se 2.32-2.45
Se 0.9240 0.3566 0.7957  1 Se 2.45, 2 In 2.71-2.74
Br 0.2074 0.7805 0.8015  2 In 2.67-2.96
Br 0.9493 0.8652 0.3276  1 In 2.56

ΔE to the lowest computed polymorph: 10.5 meV per atom
formation energy from raw total energies: -0.31 eV per atom
total magnetic moment: 0.00 Bohr magnetons per cell

InSeBr2 | PBE | optimized geometry

Unit cell a=4.5474 b=7.7261 c=7.4258 alpha=90.00 beta=90.00 gamma=90.00
With the nearest neighbours (Å) after each atom.
Space group Cmmm (No. 65)
Unique sites:
In 0.0000 0.0000 0.0000  4 Br 3.03
Se 0.0000 0.0000 0.5000  4 Br 2.85
Br 0.0000 0.5000 0.2689  2 Se 2.85, 2 In 3.03

ΔE to the lowest computed polymorph: 351.0 meV per atom
formation energy from raw total energies: 0.02 eV per atom
total magnetic moment: 0.00 Bohr magnetons per cell

InSe3Br | PBE | optimized geometry

Unit cell a=6.3525 b=7.1801 c=8.7484 alpha=110.49 beta=107.03 gamma=97.34
With the nearest neighbours (Å) after each atom.
Space group P1 (No. 1)
Unique sites:
In 0.0000 0.0000 0.0000  5 Se 3.15-3.35, 1 Br 3.33
In 0.3040 0.8313 0.4890  2 Br 2.62-2.65, 1 Se 2.64
Se 0.2425 0.5882 0.6906  2 Se 2.39-2.67
Se 0.2786 0.2740 0.4109  1 Se 2.34
Se 0.4813 0.9536 0.9509  1 Se 2.38
Se 0.5662 0.5201 0.4181  2 Se 2.34-2.48
Se 0.5838 0.1303 0.7876  1 Se 2.38, 1 In 2.64
Se 0.8591 0.5272 0.6815  2 Se 2.39-2.48
Br 0.2183 0.6702 0.1474  1 In 2.65
Br 0.9133 0.9268 0.4537  1 In 2.62

ΔE to the lowest computed polymorph: 106.2 meV per atom
formation energy from raw total energies: -0.22 eV per atom
total magnetic moment: 0.00 Bohr magnetons per cell

InSeBr | PBE | optimized geometry

Unit cell a=6.9577 b=6.9577 c=6.9577 alpha=90.00 beta=90.00 gamma=90.00
With the nearest neighbours (Å) after each atom.
Space group F-43m (No. 216)
Unique sites:
In 0.0000 0.0000 0.0000  4 Br 3.01, 4 Se 3.01
Se 0.2500 0.2500 0.7500  4 In 3.01
Br 0.2500 0.2500 0.2500  4 In 3.01

formation energy from raw total energies: -0.22 eV per atom
total magnetic moment: 0.00 Bohr magnetons per cell

InSeBr3 | PBE | optimized geometry

Unit cell a=5.5140 b=5.5140 c=5.5140 alpha=90.00 beta=90.00 gamma=90.00
With the nearest neighbours (Å) after each atom.
Space group Pm-3m (No. 221)
Unique sites:
In 0.0000 0.0000 0.0000  6 Br 2.76
Se 0.5000 0.5000 0.5000  12 Br 3.90
Br 0.0000 0.0000 0.5000  2 In 2.76

ΔE to the lowest computed polymorph: 533.9 meV per atom
formation energy from raw total energies: -0.03 eV per atom
total magnetic moment: 2.41 Bohr magnetons per cell

InSeBr2 | PBE | optimized geometry

Unit cell a=3.4901 b=3.4901 c=30.4876 alpha=90.00 beta=90.00 gamma=120.00
With the nearest neighbours (Å) after each atom.
Space group R-3m (No. 166, hexagonal axes)
Unique sites:
In 0.0000 0.0000 0.0000  2 Br 2.78
Se 0.0000 0.0000 0.5000  6 Br 3.06
Br 0.0000 0.0000 0.0911  1 In 2.78, 3 Se 3.06

ΔE to the lowest computed polymorph: 607.4 meV per atom
formation energy from raw total energies: 0.28 eV per atom
total magnetic moment: 0.00 Bohr magnetons per cell

InSeBr2 | PBE | optimized geometry

Unit cell a=4.0560 b=4.0560 c=25.3588 alpha=90.00 beta=90.00 gamma=120.00
With the nearest neighbours (Å) after each atom.
Space group R-3m (No. 166, hexagonal axes)
Unique sites:
In 0.0000 0.0000 0.0000  6 Br 2.92
Se 0.0000 0.0000 0.5000  6 Br 3.41
Br 0.0000 0.0000 0.2646  3 In 2.92

ΔE to the lowest computed polymorph: 363.2 meV per atom
formation energy from raw total energies: 0.04 eV per atom
total magnetic moment: 3.68 Bohr magnetons per cell

InSe3Br | PBE | optimized geometry

Unit cell a=3.8872 b=6.6881 c=6.8439 alpha=102.76 beta=105.77 gamma=106.72
With the nearest neighbours (Å) after each atom.
Space group P1 (No. 1)
Unique sites:
In 0.0000 0.0000 0.0000  4 Se 2.67-2.89, 2 Br 2.80-2.81
Se 0.4710 0.4525 0.1244  2 Se 2.39-2.57
Se 0.7853 0.2157 0.2998  1 Se 2.57, 1 In 2.70
Se 0.8187 0.5651 0.9035  1 Se 2.39, 1 In 2.67
Br 0.3143 0.9347 0.6780  2 In 2.80-2.81

ΔE to the lowest computed polymorph: 40.8 meV per atom
formation energy from raw total energies: -0.28 eV per atom
total magnetic moment: 0.00 Bohr magnetons per cell

In4SeBr | PBE | optimized geometry

Unit cell a=8.8752 b=8.8752 c=8.8752 alpha=90.00 beta=90.00 gamma=90.00
With the nearest neighbours (Å) after each atom.
Space group F-43m (No. 216)
Unique sites:
In 0.1242 0.1242 0.1242  6 In 3.12-3.16
Se 0.2500 0.2500 0.7500  12 In 3.68, 4 Br 3.84
Br 0.0000 0.0000 0.5000  12 In 3.68, 4 Se 3.84

formation energy from raw total energies: -0.03 eV per atom
total magnetic moment: 0.00 Bohr magnetons per cell

InSeBr3 | PBE | optimized geometry

Unit cell a=7.2851 b=7.3550 c=8.1327 alpha=91.06 beta=101.95 gamma=98.85
With the nearest neighbours (Å) after each atom.
Space group P1 (No. 1)
Unique sites:
In 0.0000 0.0000 0.0000  3 Br 2.51-2.60
In 0.0345 0.5072 0.2105  1 Se 2.59, 3 Br 2.62-2.88
Se 0.1359 0.5209 0.5360  1 Se 2.31
Se 0.2912 0.2682 0.5658  1 Se 2.31, 1 Br 2.40
Br 0.2306 0.3507 0.0276  2 In 2.63-2.83
Br 0.2750 0.8600 0.1800  1 In 2.59
Br 0.6090 0.3787 0.5360  1 Se 2.40
Br 0.7638 0.6570 0.0249  2 In 2.62-2.86
Br 0.7886 0.1553 0.1625  2 In 2.60-2.88
Br 0.9407 0.9656 0.6845  1 In 2.51

ΔE to the lowest computed polymorph: 0.0 meV per atom
formation energy from raw total energies: -0.57 eV per atom
total magnetic moment: 0.00 Bohr magnetons per cell

InSeBr | PBE | optimized geometry

Unit cell a=4.0967 b=7.5947 c=6.8666 alpha=90.00 beta=90.00 gamma=90.00
With the nearest neighbours (Å) after each atom.
Space group Pmn2_1 (No. 31)
Unique sites:
In 0.0000 0.0642 0.0000  1 Br 2.51, 3 Se 2.66-2.67
Se 0.0000 0.1330 0.6197  3 In 2.66-2.67
Br 0.0000 0.3657 0.1500  1 In 2.51

formation energy from raw total energies: -0.65 eV per atom
total magnetic moment: 0.00 Bohr magnetons per cell

InSeBr2 | PBE | optimized geometry

Unit cell a=3.6341 b=3.6341 c=8.4472 alpha=90.00 beta=90.00 gamma=90.00
With the nearest neighbours (Å) after each atom.
Space group P4mm (No. 99)
Unique sites:
In 0.0000 0.0000 0.0000  4 Se 2.96, 4 Br 3.16
Se 0.5000 0.5000 0.1737  4 In 2.96, 5 Br 3.18-3.30
Br 0.0000 0.0000 0.3949  4 Se 3.18, 1 In 3.34
Br 0.5000 0.5000 0.7825  4 In 3.16, 1 Se 3.30

ΔE to the lowest computed polymorph: 320.9 meV per atom
formation energy from raw total energies: -0.01 eV per atom
total magnetic moment: 0.00 Bohr magnetons per cell

Question: What is the total magnetic moment in the seventh record?
Answer: 3.68 Bohr magnetons per cell

Question: Look up the formation energy from raw total energies of the tenth one.
Answer: -0.57 eV per atom

Please write out number 5 again, unchanged.
InSeBr3 | PBE | optimized geometry

Unit cell a=5.5140 b=5.5140 c=5.5140 alpha=90.00 beta=90.00 gamma=90.00
With the nearest neighbours (Å) after each atom.
Space group Pm-3m (No. 221)
Unique sites:
In 0.0000 0.0000 0.0000  6 Br 2.76
Se 0.5000 0.5000 0.5000  12 Br 3.90
Br 0.0000 0.0000 0.5000  2 In 2.76

ΔE to the lowest computed polymorph: 533.9 meV per atom
formation energy from raw total energies: -0.03 eV per atom
total magnetic moment: 2.41 Bohr magnetons per cell

Question: Which value of total magnetic moment does entry 3 give?
Answer: 0.00 Bohr magnetons per cell